This record from Alexandria describes a relaxed structure of Nd2TmSn. The functional is PBE.

abc: 3.4943 3.4943 12.2074
angles: 81.77 81.77 60.00
Fractional positions:
Tm (0.0000, 0.0000, 0.0000)
Nd (0.0927, 0.0927, 0.7218)
Nd (0.9073, 0.9073, 0.2782)
Sn (0.5000, 0.5000, 0.5000)

Summary:
The space group is R-3m (166). For the formation energy, the calculation gives 0.0021 eV/atom. As for the calculated density: 7.51 g/cm3.